Entry from Alexandria via LeMat-Bulk: an optimized crystal structure of MnZnO2 (PBE+U).

a = 3.1363 Å, b = 3.1363 Å, c = 15.2291 Å
α = 90.00°, β = 90.00°, γ = 120.00°
Space group R-3m (No. 166, hexagonal axes)
Asymmetric unit:
Mn 0.0000 0.0000 0.0000 x3
Zn 0.0000 0.0000 0.5000 x3
O 0.0000 0.0000 0.2475 x6

Computed properties:
Total energy, eV/atom: -6.12
DOS at the Fermi energy, states/eV/f.u.: 0.00